The following is a PBE with a Hubbard U calculation of InFe2F2 after structural relaxation, from Alexandria via LeMat-Bulk.

extended XYZ file:
```
10
Lattice="-6.625 -4.162 -1.984 -1.758 -0.931 7.822 -1.539 2.474 -0.052" Properties=species:S:1:pos:R:3 pbc="T T T"
Fe -3.835 -0.556 5.408
Fe -2.813 -0.001 1.540
Fe -7.109 -2.617 4.247
Fe -6.087 -2.062 0.379
In -4.192 -2.546 2.919
In 0.000 0.000 0.000
F -4.266 -2.660 -0.328
F -1.433 -0.833 2.795
F -4.117 -2.432 6.166
F -6.950 -4.260 3.043
```

## Properties
The polymorph energy (0 for the lowest one) comes out at 0.3502 eV/atom. For the total moment, the calculation gives 7.917 μB/f.u. For the total energy, the calculation gives -42.41 eV per cell.